An optimized crystal structure of Ho2TeAu. Source: Alexandria via LeMat-Bulk, functional PBE.

Values from the calculation:
raw formation energy = -1.010 eV per atom
magnetization = 0.000 μB/cell
space-group type = R3m, No. 160
energy above the most stable polymorph in this dataset = 69 meV per atom

Cell: 7.8866 7.8866 7.8866 Å, 30.40 30.40 30.40°
With the nearest neighbours (Å) after each atom.
Sites, in units of the cell vectors:
Ho 0.0000 0.0000 0.0000  3 Au 2.91, 3 Te 3.14
Ho 0.1836 0.1836 0.1836  3 Au 2.94, 3 Te 3.18
Te 0.4238 0.4238 0.4238  6 Ho 3.14-3.18
Au 0.5928 0.5928 0.5928  6 Ho 2.91-2.94